No. 1
VASP calculation (GGA-PBE) on crystalline LaTlIn at its relaxed geometry.

abc: 5.173 5.173 5.173
angles: 60.00 60.00 60.00
Sites, in units of the cell vectors:
La: 0.000 0.000 0.000
Tl: 0.750 0.750 0.750
In: 0.500 0.500 0.500

Distance to the lowest polymorph of the same formula = 0.1593 eV/atom
DFT formation energy = -0.2545 eV/atom
SG = No. 216

No. 2
VASP calculation (GGA-PBE) on crystalline YRu3 at its relaxed geometry.

abc: 2.933 4.520 5.233
angles: 90.00 101.13 90.00
Sites, in units of the cell vectors:
Y: 0.000 0.000 0.000
Ru: 0.322 0.500 0.715
Ru: 0.500 0.000 0.500
Ru: 0.678 0.500 0.285

DFT formation energy = 0.2623 eV/atom
SG = No. 10

No. 3
VASP calculation (GGA-PBE) on crystalline Ba4CaY at its relaxed geometry.

abc: 7.672 7.672 7.672
angles: 60.00 60.00 60.00
Sites, in units of the cell vectors:
Ba: 0.376 0.376 0.376
Ba: 0.376 0.376 0.873
Ba: 0.376 0.873 0.376
Ba: 0.873 0.376 0.376
Ca: 0.000 0.000 0.000
Y: 0.750 0.750 0.750

DFT formation energy = 0.3759 eV/atom
SG = No. 216

No. 4
VASP calculation (GGA-PBE) on crystalline PrInH at its relaxed geometry.

abc: 3.841 3.841 5.392
angles: 90.00 90.00 120.00
Sites, in units of the cell vectors:
Pr: 0.000 0.000 0.000
In: 0.333 0.667 0.500
H: 0.667 0.333 0.000

Distance to the lowest polymorph of the same formula = 0.0909 eV/atom
SG = No. 187

No. 5
VASP calculation (GGA-PBE) on crystalline Ti2CoTcRh at its relaxed geometry.

abc: 4.408 4.408 4.315
angles: 90.00 90.00 90.00
Sites, in units of the cell vectors:
Ti: 0.000 0.500 0.000
Ti: 0.500 0.000 0.000
Co: 0.000 0.000 0.000
Tc: 0.000 0.000 0.500
Rh: 0.500 0.500 0.500

DFT formation energy = 0.4824 eV/atom
SG = No. 123

No. 6
VASP calculation (GGA-PBE) on crystalline BaHNO2 at its relaxed geometry.

abc: 4.407 4.407 3.115
angles: 90.00 90.00 90.00
Sites, in units of the cell vectors:
Ba: 0.000 0.000 0.000
H: 0.500 0.500 0.500
N: 0.500 0.500 0.000
O: 0.000 0.500 0.500
O: 0.500 0.000 0.500

Final energy = -4.33 eV per atom
SG = No. 123

No. 7
VASP calculation (GGA-PBE) on crystalline Nd16Ho7Tm6 at its relaxed geometry.

abc: 11.284 11.284 11.284
angles: 60.00 60.00 60.00
Sites, in units of the cell vectors:
Nd: 0.054 0.649 0.649
Nd: 0.125 0.125 0.125
Nd: 0.125 0.125 0.626
Nd: 0.125 0.626 0.125
Nd: 0.351 0.351 0.351
Nd: 0.351 0.351 0.946
Nd: 0.351 0.946 0.351
Nd: 0.374 0.875 0.875
Nd: 0.626 0.125 0.125
Nd: 0.649 0.054 0.649
Nd: 0.649 0.649 0.054
Nd: 0.649 0.649 0.649
Nd: 0.875 0.374 0.875
Nd: 0.875 0.875 0.374
Nd: 0.875 0.875 0.875
Nd: 0.946 0.351 0.351
Ho: 0.000 0.000 0.000
Ho: 0.000 0.000 0.500
Ho: 0.000 0.500 0.000
Ho: 0.000 0.500 0.500
Ho: 0.500 0.000 0.000
Ho: 0.500 0.000 0.500
Ho: 0.500 0.500 0.000
Tm: 0.264 0.264 0.736
Tm: 0.264 0.736 0.264
Tm: 0.264 0.736 0.736
Tm: 0.736 0.264 0.264
Tm: 0.736 0.264 0.736
Tm: 0.736 0.736 0.264

DFT formation energy = 0.2089 eV/atom
SG = No. 225

No. 8
VASP calculation (GGA-PBE) on crystalline TaTe2P at its relaxed geometry.

abc: 8.659 8.659 8.659
angles: 23.33 23.33 23.33
Sites, in units of the cell vectors:
Ta: 0.000 0.000 0.000
Te: 0.255 0.255 0.255
Te: 0.745 0.745 0.745
P: 0.500 0.500 0.500

E_form (uncorrected) = 279.0 meV/atom
SG = No. 166

No. 9
VASP calculation (GGA-PBE) on crystalline YLuCdPd at its relaxed geometry.

abc: 5.081 5.081 5.081
angles: 60.00 60.00 60.00
Sites, in units of the cell vectors:
Y: 0.000 0.000 0.000
Lu: 0.500 0.500 0.500
Cd: 0.250 0.250 0.250
Pd: 0.750 0.750 0.750

DFT formation energy = -0.5702 eV/atom
SG = No. 216

No. 10
VASP calculation (GGA-PBE) on crystalline Dy4Si2C at its relaxed geometry.

abc: 8.242 8.242 8.242
angles: 147.04 147.04 47.30
Sites, in units of the cell vectors:
Dy: 0.000 0.500 0.500
Dy: 0.169 0.169 0.000
Dy: 0.500 0.000 0.500
Dy: 0.831 0.831 0.000
Si: 0.364 0.364 0.000
Si: 0.636 0.636 0.000
C: 0.000 0.000 0.000

E_form (uncorrected) = -523.2 meV/atom
Distance to the lowest polymorph of the same formula = 0.0213 eV/atom
SG = No. 139

No. 11
VASP calculation (GGA-PBE) on crystalline La8IrOs3Br4 at its relaxed geometry.

abc: 9.221 9.221 9.221
angles: 54.27 54.27 54.27
Sites, in units of the cell vectors:
La: 0.227 0.734 0.734
La: 0.232 0.232 0.232
La: 0.266 0.266 0.773
La: 0.266 0.773 0.266
La: 0.734 0.227 0.734
La: 0.734 0.734 0.227
La: 0.768 0.768 0.768
La: 0.773 0.266 0.266
Ir: 0.500 0.500 0.500
Os: 0.000 0.000 0.500
Os: 0.000 0.500 0.000
Os: 0.500 0.000 0.000
Br: 0.000 0.000 0.000
Br: 0.000 0.500 0.500
Br: 0.500 0.000 0.500
Br: 0.500 0.500 0.000

E_form (uncorrected) = -926.1 meV/atom
SG = No. 166

No. 12
VASP calculation (GGA-PBE) on crystalline NpUReTc at its relaxed geometry.

abc: 4.630 4.630 4.630
angles: 60.00 60.00 60.00
Sites, in units of the cell vectors:
Np: 0.000 0.000 0.000
U: 0.750 0.750 0.750
Re: 0.500 0.500 0.500
Tc: 0.250 0.250 0.250

DFT formation energy = 0.0906 eV/atom
SG = No. 216

No. 13
VASP calculation (GGA-PBE) on crystalline EuCo2SiGe at its relaxed geometry.

abc: 5.876 5.876 5.876
angles: 140.65 140.65 56.88
Sites, in units of the cell vectors:
Eu: 0.000 0.000 0.000
Co: 0.256 0.756 0.500
Co: 0.756 0.256 0.500
Si: 0.363 0.363 0.000
Ge: 0.632 0.632 0.000

E_form (uncorrected) = -574.4 meV/atom
SG = No. 107

No. 14
VASP calculation (GGA-PBE) on crystalline LiPrCdIn2 at its relaxed geometry.

abc: 5.940 6.507 6.456
angles: 90.00 90.00 90.00
Sites, in units of the cell vectors:
Li: 0.000 0.000 0.000
Li: 0.500 0.000 0.000
Pr: 0.250 0.500 0.207
Pr: 0.750 0.500 0.793
Cd: 0.250 0.000 0.351
Cd: 0.750 0.000 0.649
In: 0.250 0.264 0.717
In: 0.250 0.736 0.717
In: 0.750 0.264 0.283
In: 0.750 0.736 0.283

DFT formation energy = -0.2713 eV/atom
SG = No. 51

No. 15
VASP calculation (GGA-PBE) on crystalline Cd5Hg4Pb at its relaxed geometry.

abc: 6.897 6.897 11.098
angles: 110.25 110.25 30.65
Sites, in units of the cell vectors:
Cd: 0.000 0.000 0.000
Cd: 0.211 0.211 0.601
Cd: 0.399 0.399 0.185
Cd: 0.601 0.601 0.815
Cd: 0.789 0.789 0.399
Hg: 0.094 0.094 0.297
Hg: 0.298 0.298 0.894
Hg: 0.702 0.702 0.106
Hg: 0.906 0.906 0.703
Pb: 0.500 0.500 0.500

Distance to the lowest polymorph of the same formula = 0.0000 eV/atom
DFT formation energy = 0.0239 eV/atom
SG = No. 12

No. 16
VASP calculation (GGA-PBE) on crystalline Sc2InPt6 at its relaxed geometry.

abc: 7.203 7.203 3.973
angles: 105.93 105.93 65.58
Sites, in units of the cell vectors:
Sc: 0.165 0.165 0.165
Sc: 0.835 0.835 0.835
In: 0.500 0.500 0.500
Pt: 0.079 0.587 0.333
Pt: 0.251 0.749 0.000
Pt: 0.413 0.921 0.667
Pt: 0.587 0.079 0.333
Pt: 0.749 0.251 0.000
Pt: 0.921 0.413 0.667

DFT formation energy = -0.6846 eV/atom
SG = No. 12

No. 17
VASP calculation (GGA-PBE) on crystalline LiTcBr5 at its relaxed geometry.

abc: 7.230 7.230 9.802
angles: 107.87 107.87 96.98
Sites, in units of the cell vectors:
Li: 0.176 0.824 0.750
Li: 0.824 0.176 0.250
Tc: 0.500 0.500 0.000
Tc: 0.500 0.500 0.500
Br: 0.201 0.204 0.867
Br: 0.204 0.201 0.367
Br: 0.275 0.725 0.052
Br: 0.275 0.725 0.448
Br: 0.419 0.581 0.750
Br: 0.581 0.419 0.250
Br: 0.725 0.275 0.552
Br: 0.725 0.275 0.948
Br: 0.796 0.799 0.633
Br: 0.799 0.796 0.133

E_form (uncorrected) = -607.3 meV/atom
SG = No. 15

No. 18
VASP calculation (GGA-PBE) on crystalline Dy2Y3Th3 at its relaxed geometry.

abc: 5.024 5.052 10.121
angles: 90.00 90.00 90.00
Sites, in units of the cell vectors:
Dy: 0.000 0.000 0.248
Dy: 0.000 0.000 0.752
Y: 0.000 0.500 0.500
Y: 0.500 0.000 0.000
Y: 0.500 0.000 0.500
Th: 0.000 0.500 0.000
Th: 0.500 0.500 0.248
Th: 0.500 0.500 0.752

DFT formation energy = 0.0442 eV/atom
SG = No. 47

No. 19
VASP calculation (GGA-PBE) on crystalline MgSb2Cl at its relaxed geometry.

abc: 3.482 3.482 10.079
angles: 90.00 90.00 112.48
Sites, in units of the cell vectors:
Mg: 0.000 0.000 0.000
Sb: 0.000 0.000 0.542
Sb: 0.500 0.500 0.773
Cl: 0.500 0.500 0.148

E_form (uncorrected) = -399.4 meV/atom
Distance to the lowest polymorph of the same formula = 0.1354 eV/atom
SG = No. 35

No. 20
VASP calculation (GGA-PBE) on crystalline SrRe3Br at its relaxed geometry.

abc: 4.713 4.713 4.713
angles: 90.00 90.00 90.00
Sites, in units of the cell vectors:
Sr: 0.000 0.000 0.000
Re: 0.000 0.500 0.500
Re: 0.500 0.000 0.500
Re: 0.500 0.500 0.000
Br: 0.500 0.500 0.500

E_form (uncorrected) = 2006.5 meV/atom
Distance to the lowest polymorph of the same formula = 0.0000 eV/atom
SG = No. 221